1.
Here is a geometry-optimized Ti6B2O structure from Alexandria via LeMat-Bulk. Energies are from GGA-PBE.

a = 5.0943 Å, b = 5.0943 Å, c = 9.5901 Å
α = 90.00°, β = 90.00°, γ = 90.00°
Last column: nearest neighbours and their distance in Å.
Atoms (fractional coordinates):
Ti1 0.2013 0.2013 0.1597  1 O 2.11, 2 B 2.15-2.18
Ti2 0.2013 0.2013 0.8403  1 O 2.11, 2 B 2.15-2.18
Ti3 0.2034 0.2034 0.5000  1 O 2.14, 2 B 2.19
Ti4 0.2966 0.7034 0.0000  1 O 2.14, 2 B 2.19
Ti5 0.2987 0.7013 0.3403  1 O 2.11, 2 B 2.15-2.18
Ti6 0.2987 0.7013 0.6597  1 O 2.11, 2 B 2.15-2.18
Ti7 0.7013 0.2987 0.3403  1 O 2.11, 2 B 2.15-2.18
Ti8 0.7013 0.2987 0.6597  1 O 2.11, 2 B 2.15-2.18
Ti9 0.7034 0.2966 0.0000  1 O 2.14, 2 B 2.19
Ti10 0.7966 0.7966 0.5000  1 O 2.14, 2 B 2.19
Ti11 0.7987 0.7987 0.1597  1 O 2.11, 2 B 2.15-2.18
Ti12 0.7987 0.7987 0.8403  1 O 2.11, 2 B 2.15-2.18
B1 0.0000 0.0000 0.3296  6 Ti 2.15-2.19
B2 0.0000 0.0000 0.6704  6 Ti 2.15-2.19
B3 0.5000 0.5000 0.1704  6 Ti 2.15-2.19
B4 0.5000 0.5000 0.8296  6 Ti 2.15-2.19
O1 0.0000 0.0000 0.0000  6 Ti 2.11-2.14
O2 0.5000 0.5000 0.5000  6 Ti 2.11-2.14

Computed properties:
Total energy ... -146.2 eV for the cell shown
Magnetic moment ... 0.0 Bohr magnetons per cell
Volume ... 13.83 Å³ per atom
Energy relative to the elements, uncorrected ... -0.825 eV per atom
Symmetry ... P4_2/mnm, No. 136

2.
Here is a geometry-optimized TiB2O structure from Alexandria via LeMat-Bulk. Energies are from GGA-PBE.

a = 4.6699 Å, b = 4.6699 Å, c = 4.6699 Å
α = 114.20°, β = 114.20°, γ = 100.38°
Last column: nearest neighbours and their distance in Å.
Atoms (fractional coordinates):
Ti1 0.0000 0.0000 0.0000  4 B 2.31
Ti2 0.7500 0.2500 0.5000  4 B 2.31
B1 0.2257 0.6250 0.1007  2 O 1.66
B2 0.3750 0.4757 0.6007  2 O 1.66
B3 0.5243 0.1250 0.8993  2 O 1.66
B4 0.8750 0.7743 0.3993  2 O 1.66
O1 0.2500 0.7500 0.5000  4 B 1.66
O2 0.5000 0.5000 0.0000  4 B 1.66

Computed properties:
Total energy ... -51.2 eV for the cell shown
Magnetic moment ... 0.0 Bohr magnetons per cell
Volume ... 9.62 Å³ per atom
Energy relative to the elements, uncorrected ... 0.149 eV per atom
Symmetry ... I-42d, No. 122

3.
Here is a geometry-optimized TiBO3 structure from Alexandria via LeMat-Bulk. Energies are from GGA-PBE.

a = 8.0866 Å, b = 8.0866 Å, c = 4.8352 Å
α = 90.00°, β = 90.00°, γ = 161.13°
Last column: nearest neighbours and their distance in Å.
Atoms (fractional coordinates):
Ti1 0.1736 0.8264 0.5000  6 O 1.98-2.12
Ti2 0.8264 0.1736 0.0000  6 O 1.98-2.12
B1 0.3759 0.6241 0.4457  4 O 1.41-1.56
B2 0.6241 0.3759 0.9457  4 O 1.41-1.56
O1 0.0890 0.9110 0.8258  2 B 1.55
O2 0.2865 0.7135 0.3160  1 B 1.56
O3 0.3737 0.6263 0.7380  1 B 1.41
O4 0.6263 0.3737 0.2380  1 B 1.41
O5 0.7135 0.2865 0.8160  1 B 1.56
O6 0.9110 0.0890 0.3258  2 B 1.55

Computed properties:
Total energy ... -83.6 eV for the cell shown
Magnetic moment ... 0.5 Bohr magnetons per cell
Volume ... 10.23 Å³ per atom
Energy relative to the elements, uncorrected ... -2.473 eV per atom
Symmetry ... Cmc2_1, No. 36

4.
Here is a geometry-optimized Ti3TlB4O12 structure from Alexandria via LeMat-Bulk. Energies are from GGA-PBE.

a = 6.2149 Å, b = 6.2149 Å, c = 6.2149 Å
α = 102.58°, β = 102.58°, γ = 102.58°
Last column: nearest neighbours and their distance in Å.
Atoms (fractional coordinates):
Ti1 0.0000 0.5487 0.4513  4 O 1.87-2.09
Ti2 0.4513 0.0000 0.5487  4 O 1.87-2.09
Ti3 0.5487 0.4513 0.0000  4 O 1.87-2.09
Tl1 0.0000 0.0000 0.0000  6 O 2.70
B1 0.0530 0.5000 0.9470  3 O 1.38-1.39
B2 0.5000 0.5000 0.5000  3 O 1.40
B3 0.5000 0.9470 0.0530  3 O 1.38-1.39
B4 0.9470 0.0530 0.5000  3 O 1.38-1.39
O1 0.0102 0.5863 0.7610  1 B 1.38
O2 0.0904 0.9096 0.5000  1 B 1.39
O3 0.2390 0.4137 0.9898  1 B 1.38
O4 0.3556 0.6444 0.5000  1 B 1.40
O5 0.4137 0.9898 0.2390  1 B 1.38
O6 0.5000 0.0904 0.9096  1 B 1.39
O7 0.5000 0.3556 0.6444  1 B 1.40
O8 0.5863 0.7610 0.0102  1 B 1.38
O9 0.6444 0.5000 0.3556  1 B 1.40
O10 0.7610 0.0102 0.5863  1 B 1.38
O11 0.9096 0.5000 0.0904  1 B 1.39
O12 0.9898 0.2390 0.4137  1 B 1.38

Computed properties:
Total energy ... -162.1 eV for the cell shown
Magnetic moment ... 1.1 Bohr magnetons per cell
Volume ... 10.98 Å³ per atom
Energy relative to the elements, uncorrected ... -2.492 eV per atom
Symmetry ... R32, No. 155

> Which of these has the lowest energy relative to the elements, uncorrected?

Ti3TlB4O12

> What is the magnetic moment in the second record?

0.0 Bohr magnetons per cell

> magnetic moment of number 1 (Ti6B2O)?

0.0 Bohr magnetons per cell